1.
DFT (PBE) results for ZrTeS4 after structural relaxation.

```
ZrTeS4
1.0
3.729 0.000 0.000
0.000 6.589 0.000
0.000 0.000 13.091
Zr Te S
2 2 8
direct
0.000 0.029 0.000 Zr
0.500 0.971 0.500 Zr
0.000 0.471 0.500 Te
0.500 0.529 0.000 Te
0.000 0.134 0.610 S
0.000 0.351 0.114 S
0.000 0.706 0.886 S
0.000 0.806 0.389 S
0.500 0.194 0.889 S
0.500 0.294 0.386 S
0.500 0.649 0.614 S
0.500 0.866 0.110 S
```

Properties
**Energy**: -5.411 eV per atom


2.
DFT (PBE) results for Tl2Zn after structural relaxation.

```
Tl2Zn
1.0
0.000 4.550 4.550
4.550 0.000 4.550
4.550 4.550 0.000
Tl Zn
4 2
direct
0.000 0.000 0.000 Tl
0.000 0.000 0.500 Tl
0.000 0.500 0.000 Tl
0.500 0.000 0.000 Tl
0.375 0.375 0.375 Zn
0.625 0.625 0.625 Zn
```

Properties
**Energy above the most stable polymorph in this dataset**: 0.84 eV per formula unit


3.
DFT (PBE) results for TaSiTe after structural relaxation.

```
TaSiTe
1.0
0.000 3.183 3.183
3.183 0.000 3.183
3.183 3.183 0.000
Ta Si Te
1 1 1
direct
0.000 0.000 0.000 Ta
0.250 0.250 0.250 Si
0.500 0.500 0.500 Te
```

Properties
**Energy**: -6.079 eV per atom